Tb6Ho8Pb | PBE | relaxed

Calculated values
The calculation puts the formation energy from the elements at 264 kJ/mol of formula units. For the magnetic moment, the calculation gives 0.00 μB/f.u.

Unit cell a=9.1748 b=9.1748 c=6.7096 alpha=90.00 beta=90.00 gamma=120.00
Space group P-3 (No. 147)
Inequivalent atoms, fractional coordinates:
Tb: 0.0786 0.6827 0.3967 x6
Ho: 0.0183 0.3319 0.1087 x6
Ho: 0.3333 0.6667 0.8120 x2
Pb: 0.0000 0.0000 0.5000 x1